CuWO4 after structural relaxation. Source: Alexandria, functional GGA+U.

Calculated values
D(E_F)   0.60 states/eV per atom
Energy relative to the lowest polymorph listed for this composition   1.276 eV/f.u.
Space group   P-42c, No. 112

abc: 4.583 4.583 9.144
angles: 90.00 90.00 90.00
Last column: magnetic moment on the atom in μB.
Positions (direct):
O 0.215 0.736 0.131  0.10
O 0.264 0.215 0.869  0.10
W 0.000 0.500 0.250  -0.06
O 0.785 0.264 0.131  0.10
O 0.215 0.264 0.369  0.10
Cu 0.000 0.000 0.000  0.59
O 0.785 0.736 0.369  0.10
O 0.736 0.215 0.631  0.10
O 0.736 0.785 0.869  0.10
W 0.500 0.000 0.750  -0.06
O 0.264 0.785 0.631  0.10
Cu 0.000 0.000 0.500  0.59